[1]
Density functional theory data (PBE) for crystalline MnCdAg at its relaxed geometry.

Geometry as extended XYZ:
```
3
Lattice="-0.588 3.484 2.821 -4.128 0.961 1.575 -0.993 -0.753 4.347" Properties=species:S:1:pos:R:3 pbc="T T T"
Ag -4.282 2.770 6.557
Cd 0.000 0.000 0.000
Mn -2.855 1.846 4.372
```

Values from the calculation:
The formation enthalpy at 0 K comes out at 448.7 meV per atom. The calculation puts the volume at 65 Å³/cell. The crystal system is cubic.

---

[2]
Density functional theory data (PBE) for crystalline La2ThRh9 at its relaxed geometry.

Geometry as extended XYZ:
```
12
Lattice="-2.118 -2.491 4.191 1.919 -4.712 1.540 5.783 1.755 7.335" Properties=species:S:1:pos:R:3 pbc="T T T"
La 2.248 -5.464 8.001
La 3.336 0.017 5.066
Th 0.000 0.000 0.000
Rh 5.642 -3.052 11.149
Rh -0.058 -2.395 1.918
Rh 2.792 -2.724 6.533
Rh 1.322 -2.593 4.185
Rh 0.265 -3.837 6.278
Rh 2.280 -4.946 4.955
Rh 4.262 -2.854 8.882
Rh 3.304 -0.502 8.112
Rh 5.320 -1.611 6.789
```

Values from the calculation:
The formation enthalpy at 0 K comes out at -573.9 meV per atom. The calculation puts the volume at 220 Å³/cell. The crystal system is trigonal.

---

[3]
Density functional theory data (PBE) for crystalline Pm3YCo at its relaxed geometry.

Geometry as extended XYZ:
```
5
Lattice="5.405 0.000 0.000 0.000 5.405 0.000 0.000 0.000 5.405" Properties=species:S:1:pos:R:3 pbc="T T T"
Y 2.703 2.703 2.703
Co 0.000 0.000 0.000
Pm 0.000 2.703 0.000
Pm 0.000 0.000 2.703
Pm 2.703 0.000 0.000
```

Values from the calculation:
The formation enthalpy at 0 K comes out at 81.3 meV per atom. The calculation puts the volume at 158 Å³/cell. The crystal system is cubic.

---

[4]
Density functional theory data (PBE) for crystalline Ta3TeOs at its relaxed geometry.

Geometry as extended XYZ:
```
5
Lattice="4.876 0.000 0.000 0.000 4.876 0.000 0.000 0.000 4.876" Properties=species:S:1:pos:R:3 pbc="T T T"
Te 0.000 0.000 0.000
Os 2.438 2.438 2.438
Ta 0.000 2.438 0.000
Ta 0.000 0.000 2.438
Ta 2.438 0.000 0.000
```

Values from the calculation:
The calculation puts the volume at 116 Å³/cell. The crystal system is cubic. As for the uncorrected formation energy: 2.28 eV per atom.

---

[5]
Density functional theory data (PBE) for crystalline KIn6Bi2 at its relaxed geometry.

Geometry as extended XYZ:
```
9
Lattice="5.156 0.000 0.000 0.000 5.156 0.000 0.000 0.000 11.110" Properties=species:S:1:pos:R:3 pbc="T T T"
K 0.000 0.000 0.000
In 0.000 2.578 3.517
In 2.578 0.000 3.517
In 0.000 2.578 7.594
In 2.578 0.000 7.594
In 2.578 2.578 5.555
In 0.000 0.000 5.555
Bi 2.578 2.578 1.603
Bi 2.578 2.578 9.507
```

Values from the calculation:
The formation enthalpy at 0 K comes out at -60.8 meV per atom. The calculation puts the volume at 295 Å³/cell. The crystal system is tetragonal.

---

[6]
Density functional theory data (PBE) for crystalline KPa4Te12Au3 at its relaxed geometry.

Geometry as extended XYZ:
```
20
Lattice="-2.657 6.717 -6.407 -6.471 -7.167 0.021 0.458 3.948 8.799" Properties=species:S:1:pos:R:3 pbc="T T T"
K 0.000 0.000 0.000
Pa -1.328 3.358 -3.204
Pa -4.335 1.749 1.206
Pa -3.235 -3.583 0.010
Pa 0.229 1.974 4.400
Te -6.121 -3.257 -0.755
Te -2.549 6.756 3.167
Te -6.938 0.704 0.134
Te -6.639 1.538 -3.965
Te -2.967 5.783 -2.529
Te -3.470 -1.089 1.666
Te -3.250 1.705 -1.593
Te -5.704 -2.284 4.942
Te -1.732 2.795 2.279
Te -2.031 1.961 6.378
Te -5.200 4.588 0.746
Te -5.420 1.794 4.006
Au -3.007 -1.609 4.410
Au -4.564 -0.225 -3.193
Au -1.100 5.333 1.196
```

Values from the calculation:
The calculation puts the volume at 693 Å³/cell. The crystal system is cubic. As for the uncorrected formation energy: -0.54 eV per atom.